This record from Alexandria describes crystalline KWC2O8 at its relaxed geometry. The functional is PBE+U.

Geometry as POSCAR:
```
KWC2O8
1.0
4.7399 -0.0550 -0.0036
2.1377 4.2308 -0.0036
0.3065 0.1861 7.9921
O C W K
8 2 1 1
direct
0.7738 0.7738 0.0739
0.2335 0.6862 0.8311
0.3138 0.7665 0.1689
0.6862 0.2335 0.8311
0.6885 0.6885 0.3524
0.7665 0.3138 0.1689
0.2262 0.2262 0.9261
0.3115 0.3115 0.6476
0.6398 0.6398 0.1990
0.3602 0.3602 0.8010
0.0000 0.0000 0.0000
0.0000 0.0000 0.5000
```

Properties
Calculated volume = 13.435 Å³/atom
E = -82.2 eV per cell
Crystal system = monoclinic
Density = 3.86 g/cm3